Record 1
This record from Alexandria describes an optimized crystal structure of AlNiPb2. The functional is PBE-GGA.

Its space group is P2/m (10). As for the total magnetization: 0.0 μB/cell. The value obtained for the total energy is -15.86 eV/cell. The energy of formation from the pure elements is 270 meV per atom.

a = 3.3008 Å, b = 3.3234 Å, c = 8.0124 Å
α = 90.00°, β = 90.61°, γ = 90.00°
Atoms (fractional coordinates):
Al: 0.0000 0.0000 0.0000
Ni: 0.0000 0.0000 0.5000
Pb: 0.4981 0.5000 0.2890
Pb: 0.5019 0.5000 0.7110

***

Record 2
This record from Alexandria describes an optimized crystal structure of ErPRh. The functional is PBE-GGA.

Its space group is P2_1/m (11). As for the total magnetization: 0.0 μB/cell. The value obtained for the total energy is -126.62 eV/cell. The energy of formation from the pure elements is -1260 meV per atom.

a = 6.7456 Å, b = 3.8721 Å, c = 11.7017 Å
α = 90.00°, β = 91.01°, γ = 90.00°
Atoms (fractional coordinates):
Er: 0.0302 0.2500 0.1211
Er: 0.1514 0.2500 0.4197
Er: 0.4700 0.7500 0.7914
Er: 0.5300 0.2500 0.2086
Er: 0.8486 0.7500 0.5803
Er: 0.9698 0.7500 0.8789
P: 0.2342 0.7500 0.2508
P: 0.2691 0.2500 0.9256
P: 0.2766 0.7500 0.5808
P: 0.7234 0.2500 0.4192
P: 0.7309 0.7500 0.0744
P: 0.7658 0.2500 0.7492
Rh: 0.1339 0.2500 0.7056
Rh: 0.3482 0.7500 0.0386
Rh: 0.4941 0.2500 0.5903
Rh: 0.5059 0.7500 0.4097
Rh: 0.6518 0.2500 0.9614
Rh: 0.8661 0.7500 0.2944

***

Record 3
This record from Alexandria describes an optimized crystal structure of Pm3Pr4Al4. The functional is PBE-GGA.

Its space group is Immm (71). As for the total magnetization: 0.0 μB/cell. The value obtained for the total energy is -50.63 eV/cell. The energy of formation from the pure elements is -209 meV per atom.

a = 10.7731 Å, b = 10.7731 Å, c = 10.7731 Å
α = 160.49°, β = 128.50°, γ = 55.59°
Atoms (fractional coordinates):
Pm: 0.0000 0.0000 0.0000
Pm: 0.4059 0.9059 0.5000
Pm: 0.5941 0.0941 0.5000
Pr: 0.0118 0.3339 0.6779
Pr: 0.3440 0.6661 0.6779
Pr: 0.6560 0.3339 0.3221
Pr: 0.9882 0.6661 0.3221
Al: 0.2749 0.2749 0.0000
Al: 0.2791 0.5000 0.7791
Al: 0.7209 0.5000 0.2209
Al: 0.7251 0.7251 0.0000